# CePuCl4 (PBE, optimized geometry)
data_CePuCl4
_chemical_formula_sum 'Ce2 Pu2 Cl8'
_cell_length_a 7.076
_cell_length_b 7.024
_cell_length_c 6.982
_cell_angle_alpha 90.00
_cell_angle_beta 90.65
_cell_angle_gamma 90.00
_space_group_name_H-M_alt 'P 1 21/c 1'
_space_group_IT_number 14
loop_
_space_group_symop_operation_xyz
'x,y,z'
'-x,-y,-z'
'-x,y+1/2,-z+1/2'
'x,-y+1/2,z+1/2'
loop_
_atom_site_label
_atom_site_type_symbol
_atom_site_fract_x
_atom_site_fract_y
_atom_site_fract_z
_atom_site_occupancy
Ce1 Ce 0.000 0.000 0.000 1
Pu1 Pu 0.500 0.000 0.500 1
Cl1 Cl 0.156 0.149 0.649 1
Cl2 Cl 0.347 0.655 0.653 1
# electronic total energy: -6.3511 eV per atom
# formation energy (no corrections): -1742 meV per atom